w:
Density functional theory data (meta-GGA SCAN) for a PBEsol-optimized structure of LiSiBiO4.

Mass density   5.81 g/cm3

Cell lengths 8.783, 7.013, 5.719 Å; angles 90.00, 90.00, 90.00 degrees
Element x y z (fractional)
Li1 0.000 0.000 0.000
Li2 0.000 0.500 0.000
Li3 0.500 0.000 0.500
Li4 0.500 0.500 0.500
Si1 0.188 0.250 0.407
Si2 0.312 0.750 0.907
Si3 0.688 0.250 0.093
Si4 0.812 0.750 0.593
Bi1 0.161 0.750 0.369
Bi2 0.339 0.250 0.869
Bi3 0.661 0.750 0.131
Bi4 0.839 0.250 0.631
O1 0.100 0.250 0.667
O2 0.131 0.750 0.987
O3 0.145 0.063 0.252
O4 0.145 0.437 0.252
O5 0.355 0.563 0.752
O6 0.355 0.937 0.752
O7 0.369 0.250 0.487
O8 0.400 0.750 0.167
O9 0.600 0.250 0.833
O10 0.631 0.750 0.513
O11 0.645 0.063 0.248
O12 0.645 0.437 0.248
O13 0.855 0.563 0.748
O14 0.855 0.937 0.748
O15 0.869 0.250 0.013
O16 0.900 0.750 0.333


x:
Density functional theory data (meta-GGA SCAN) for a PBEsol-optimized structure of LiSiBiO4.

Mass density   5.54 g/cm3

Cell lengths 5.737, 6.397, 11.221 Å; angles 90.00, 116.30, 90.00 degrees
Element x y z (fractional)
Li1 0.091 0.136 0.446
Li2 0.091 0.364 0.946
Li3 0.909 0.636 0.054
Li4 0.909 0.864 0.554
Si1 0.302 0.697 0.863
Si2 0.302 0.803 0.363
Si3 0.698 0.197 0.637
Si4 0.698 0.303 0.137
Bi1 0.466 0.663 0.641
Bi2 0.466 0.837 0.141
Bi3 0.534 0.163 0.859
Bi4 0.534 0.337 0.359
O1 0.145 0.688 0.957
O2 0.145 0.812 0.457
O3 0.199 0.658 0.229
O4 0.199 0.842 0.729
O5 0.332 0.034 0.310
O6 0.332 0.466 0.810
O7 0.412 0.199 0.033
O8 0.412 0.301 0.533
O9 0.588 0.699 0.467
O10 0.588 0.801 0.967
O11 0.668 0.534 0.190
O12 0.668 0.966 0.690
O13 0.801 0.158 0.271
O14 0.801 0.342 0.771
O15 0.855 0.188 0.543
O16 0.855 0.312 0.043


Short version: x is the least stable of them.


w:
Density functional theory data (meta-GGA SCAN) for a PBEsol-optimized structure of LiSiBiO4.

Mass density   5.83 g/cm3

Cell lengths 10.013, 10.013, 8.076 Å; angles 90.00, 90.00, 120.00 degrees
Element x y z (fractional)
Li1 0.096 0.773 0.000
Li2 0.227 0.323 0.000
Li3 0.323 0.096 0.500
Li4 0.333 0.667 0.488
Li5 0.667 0.333 0.988
Li6 0.677 0.904 0.000
Li7 0.773 0.677 0.500
Li8 0.904 0.227 0.500
Si1 0.102 0.787 0.376
Si2 0.213 0.315 0.376
Si3 0.315 0.102 0.876
Si4 0.333 0.667 0.951
Si5 0.667 0.333 0.451
Si6 0.685 0.898 0.376
Si7 0.787 0.685 0.876
Si8 0.898 0.213 0.876
Bi1 0.000 0.000 0.158
Bi2 0.000 0.000 0.658
Bi3 0.027 0.531 0.709
Bi4 0.469 0.495 0.709
Bi5 0.495 0.027 0.209
Bi6 0.505 0.973 0.709
Bi7 0.531 0.505 0.209
Bi8 0.973 0.469 0.209
O1 0.005 0.289 0.710
O2 0.008 0.177 0.998
O3 0.057 0.319 0.332
O4 0.135 0.651 0.447
O5 0.157 0.609 0.009
O6 0.170 0.992 0.998
O7 0.177 0.170 0.498
O8 0.262 0.943 0.332
O9 0.284 0.995 0.710
O10 0.289 0.284 0.210
O11 0.319 0.262 0.832
O12 0.333 0.667 0.744
O13 0.349 0.484 0.447
O14 0.391 0.548 0.009
O15 0.452 0.843 0.009
O16 0.484 0.135 0.947
O17 0.516 0.865 0.447
O18 0.548 0.157 0.509
O19 0.609 0.452 0.509
O20 0.651 0.516 0.947
O21 0.667 0.333 0.244
O22 0.681 0.738 0.332
O23 0.711 0.716 0.710
O24 0.716 0.005 0.210
O25 0.738 0.057 0.832
O26 0.823 0.830 0.998
O27 0.830 0.008 0.498
O28 0.843 0.391 0.509
O29 0.865 0.349 0.947
O30 0.943 0.681 0.832
O31 0.992 0.823 0.498
O32 0.995 0.711 0.210


x:
Density functional theory data (meta-GGA SCAN) for a PBEsol-optimized structure of LiSiBiO4.

Mass density   5.43 g/cm3

Cell lengths 8.533, 8.533, 8.533 Å; angles 102.97, 102.97, 102.97 degrees
Element x y z (fractional)
Li1 0.062 0.461 0.313
Li2 0.313 0.062 0.461
Li3 0.461 0.313 0.062
Li4 0.539 0.687 0.938
Li5 0.687 0.938 0.539
Li6 0.938 0.539 0.687
Si1 0.243 0.413 0.644
Si2 0.356 0.757 0.587
Si3 0.413 0.644 0.243
Si4 0.587 0.356 0.757
Si5 0.644 0.243 0.413
Si6 0.757 0.587 0.356
Bi1 0.042 0.951 0.687
Bi2 0.049 0.313 0.958
Bi3 0.313 0.958 0.049
Bi4 0.687 0.042 0.951
Bi5 0.951 0.687 0.042
Bi6 0.958 0.049 0.313
O1 0.059 0.783 0.832
O2 0.112 0.427 0.754
O3 0.168 0.941 0.217
O4 0.195 0.232 0.507
O5 0.217 0.168 0.941
O6 0.232 0.507 0.195
O7 0.236 0.561 0.544
O8 0.246 0.888 0.573
O9 0.427 0.754 0.112
O10 0.439 0.456 0.764
O11 0.456 0.764 0.439
O12 0.493 0.805 0.768
O13 0.507 0.195 0.232
O14 0.544 0.236 0.561
O15 0.561 0.544 0.236
O16 0.573 0.246 0.888
O17 0.754 0.112 0.427
O18 0.764 0.439 0.456
O19 0.768 0.493 0.805
O20 0.783 0.832 0.059
O21 0.805 0.768 0.493
O22 0.832 0.059 0.783
O23 0.888 0.573 0.246
O24 0.941 0.217 0.168


Short version: x is the least stable of them.


w:
Density functional theory data (meta-GGA SCAN) for a PBEsol-optimized structure of LiSiBiO4.

Mass density   6.52 g/cm3

Cell lengths 4.846, 12.221, 5.300 Å; angles 90.00, 90.00, 90.00 degrees
Element x y z (fractional)
Li1 0.000 0.236 0.250
Li2 0.000 0.764 0.750
Li3 0.500 0.264 0.750
Li4 0.500 0.736 0.250
Si1 0.000 0.386 0.750
Si2 0.000 0.614 0.250
Si3 0.500 0.114 0.250
Si4 0.500 0.886 0.750
Bi1 0.000 0.103 0.750
Bi2 0.000 0.897 0.250
Bi3 0.500 0.397 0.250
Bi4 0.500 0.603 0.750
O1 0.164 0.307 0.545
O2 0.164 0.693 0.045
O3 0.245 0.456 0.897
O4 0.245 0.544 0.397
O5 0.255 0.044 0.397
O6 0.255 0.956 0.897
O7 0.336 0.193 0.045
O8 0.336 0.807 0.545
O9 0.664 0.193 0.455
O10 0.664 0.807 0.955
O11 0.745 0.044 0.103
O12 0.745 0.956 0.603
O13 0.755 0.456 0.603
O14 0.755 0.544 0.103
O15 0.836 0.307 0.955
O16 0.836 0.693 0.455


x:
Density functional theory data (meta-GGA SCAN) for a PBEsol-optimized structure of LiSiBiO4.

Mass density   5.06 g/cm3

Cell lengths 10.501, 7.438, 5.176 Å; angles 90.00, 90.00, 90.00 degrees
Element x y z (fractional)
Li1 0.158 0.016 0.000
Li2 0.342 0.516 0.500
Li3 0.658 0.484 0.000
Li4 0.842 0.984 0.500
Si1 0.106 0.786 0.495
Si2 0.394 0.286 0.995
Si3 0.606 0.714 0.495
Si4 0.894 0.214 0.995
Bi1 0.130 0.516 0.010
Bi2 0.370 0.016 0.510
Bi3 0.630 0.984 0.010
Bi4 0.870 0.484 0.510
O1 0.045 0.213 0.055
O2 0.144 0.789 0.187
O3 0.166 0.591 0.605
O4 0.181 0.956 0.631
O5 0.319 0.456 0.131
O6 0.334 0.091 0.105
O7 0.356 0.289 0.687
O8 0.455 0.713 0.555
O9 0.545 0.287 0.055
O10 0.644 0.711 0.187
O11 0.666 0.909 0.605
O12 0.681 0.544 0.631
O13 0.819 0.044 0.131
O14 0.834 0.409 0.105
O15 0.856 0.211 0.687
O16 0.955 0.787 0.555


Short version: x is the least stable of them.


w:
Density functional theory data (meta-GGA SCAN) for a PBEsol-optimized structure of LiSiBiO4.

Mass density   5.24 g/cm3

Cell lengths 10.235, 5.269, 14.490 Å; angles 90.00, 90.00, 90.00 degrees
Element x y z (fractional)
Li1 0.008 0.018 0.000
Li2 0.220 0.464 0.249
Li3 0.280 0.464 0.749
Li4 0.492 0.018 0.500
Li5 0.508 0.982 0.000
Li6 0.720 0.536 0.249
Li7 0.780 0.536 0.749
Li8 0.992 0.982 0.500
Si1 0.021 0.513 0.879
Si2 0.242 0.938 0.617
Si3 0.258 0.938 0.117
Si4 0.479 0.513 0.379
Si5 0.521 0.487 0.879
Si6 0.742 0.062 0.617
Si7 0.758 0.062 0.117
Si8 0.979 0.487 0.379
Bi1 0.006 0.013 0.753
Bi2 0.212 0.411 0.501
Bi3 0.288 0.411 0.001
Bi4 0.494 0.013 0.253
Bi5 0.506 0.987 0.753
Bi6 0.712 0.589 0.501
Bi7 0.788 0.589 0.001
Bi8 0.994 0.987 0.253
O1 0.026 0.640 0.471
O2 0.047 0.602 0.283
O3 0.048 0.205 0.394
O4 0.098 0.089 0.610
O5 0.179 0.504 0.864
O6 0.184 0.083 0.206
O7 0.189 0.997 0.019
O8 0.227 0.638 0.639
O9 0.273 0.638 0.139
O10 0.311 0.997 0.519
O11 0.316 0.083 0.706
O12 0.321 0.504 0.364
O13 0.402 0.089 0.110
O14 0.452 0.205 0.894
O15 0.453 0.602 0.783
O16 0.474 0.640 0.971
O17 0.526 0.360 0.471
O18 0.547 0.398 0.283
O19 0.548 0.795 0.394
O20 0.598 0.911 0.610
O21 0.679 0.496 0.864
O22 0.684 0.917 0.206
O23 0.689 0.003 0.019
O24 0.727 0.362 0.639
O25 0.773 0.362 0.139
O26 0.811 0.003 0.519
O27 0.816 0.917 0.706
O28 0.821 0.496 0.364
O29 0.902 0.911 0.110
O30 0.952 0.795 0.894
O31 0.953 0.398 0.783
O32 0.974 0.360 0.971


x:
Density functional theory data (meta-GGA SCAN) for a PBEsol-optimized structure of LiSiBiO4.

Mass density   5.38 g/cm3

Cell lengths 5.050, 5.050, 8.614 Å; angles 90.00, 90.00, 120.00 degrees
Element x y z (fractional)
Li1 0.333 0.667 0.000
Li2 0.667 0.333 0.500
Si1 0.333 0.667 0.600
Si2 0.667 0.333 0.100
Bi1 0.000 0.000 0.374
Bi2 0.000 0.000 0.874
O1 0.044 0.698 0.535
O2 0.302 0.345 0.535
O3 0.333 0.667 0.787
O4 0.345 0.302 0.035
O5 0.655 0.956 0.535
O6 0.667 0.333 0.287
O7 0.698 0.044 0.035
O8 0.956 0.655 0.035


y:
Density functional theory data (meta-GGA SCAN) for a PBEsol-optimized structure of LiSiBiO4.

Mass density   5.33 g/cm3

Cell lengths 8.637, 5.305, 8.696 Å; angles 90.00, 105.39, 90.00 degrees
Element x y z (fractional)
Li1 0.000 0.162 0.000
Li2 0.000 0.838 0.500
Li3 0.512 0.334 0.365
Li4 0.512 0.666 0.865
Si1 0.385 0.202 0.997
Si2 0.385 0.798 0.497
Si3 0.892 0.323 0.613
Si4 0.892 0.677 0.113
Bi1 0.149 0.349 0.368
Bi2 0.149 0.651 0.868
Bi3 0.616 0.152 0.720
Bi4 0.616 0.848 0.220
O1 0.025 0.194 0.533
O2 0.025 0.806 0.033
O3 0.212 0.308 0.019
O4 0.212 0.692 0.519
O5 0.388 0.111 0.480
O6 0.388 0.889 0.980
O7 0.415 0.350 0.845
O8 0.415 0.650 0.345
O9 0.533 0.242 0.162
O10 0.533 0.758 0.662
O11 0.706 0.255 0.509
O12 0.706 0.745 0.009
O13 0.894 0.189 0.785
O14 0.894 0.811 0.285
O15 0.933 0.379 0.145
O16 0.933 0.621 0.645


Short version: y is the least stable of them.


w:
Density functional theory data (meta-GGA SCAN) for a PBEsol-optimized structure of Li2BiPb2.

Mass density   8.88 g/cm3

Cell lengths 7.386, 7.386, 4.368 Å; angles 90.00, 90.00, 90.00 degrees
Element x y z (fractional)
Li1 0.138 0.362 0.000
Li2 0.362 0.862 0.000
Li3 0.638 0.138 0.000
Li4 0.862 0.638 0.000
Bi1 0.000 0.000 0.000
Bi2 0.500 0.500 0.000
Pb1 0.166 0.666 0.500
Pb2 0.334 0.166 0.500
Pb3 0.666 0.834 0.500
Pb4 0.834 0.334 0.500


x:
Density functional theory data (meta-GGA SCAN) for a PBEsol-optimized structure of Li2BiPb2.

Mass density   8.38 g/cm3

Cell lengths 4.436, 4.436, 12.831 Å; angles 90.00, 90.00, 90.00 degrees
Element x y z (fractional)
Li1 0.000 0.500 0.250
Li2 0.000 0.500 0.750
Li3 0.500 0.000 0.250
Li4 0.500 0.000 0.750
Bi1 0.000 0.000 0.000
Bi2 0.500 0.500 0.500
Pb1 0.000 0.000 0.388
Pb2 0.000 0.000 0.612
Pb3 0.500 0.500 0.112
Pb4 0.500 0.500 0.888


Short version: x is the least stable of them.


w:
Density functional theory data (meta-GGA SCAN) for a PBEsol-optimized structure of Li3BiS.

Mass density   3.18 g/cm3

Cell lengths 5.151, 5.151, 5.151 Å; angles 90.00, 90.00, 90.00 degrees
Element x y z (fractional)
Li1 0.000 0.000 0.500
Li2 0.000 0.500 0.000
Li3 0.500 0.000 0.000
Bi1 0.000 0.000 0.000
S1 0.500 0.500 0.500


x:
Density functional theory data (meta-GGA SCAN) for a PBEsol-optimized structure of Li3BiS.

Mass density   4.44 g/cm3

Cell lengths 4.610, 4.610, 4.610 Å; angles 90.00, 90.00, 90.00 degrees
Element x y z (fractional)
Li1 0.000 0.000 0.500
Li2 0.000 0.500 0.000
Li3 0.500 0.000 0.000
Bi1 0.500 0.500 0.500
S1 0.000 0.000 0.000


Short version: w is the least stable of them.